Entry 1:
The following is a GGA-PBE calculation of a geometry-optimized Na3US4 structure, from Alexandria.

The structure in POSCAR format:
```
Na3US4
1.0
-3.709 -1.579 0.213
2.716 -6.147 1.716
-1.195 3.589 5.813
Na S U
3 4 1
Direct
0.000 0.000 0.500 Na
0.000 0.500 0.000 Na
0.500 0.500 0.500 Na
0.500 0.225 0.775 S
0.000 0.223 0.223 S
0.500 0.775 0.225 S
0.000 0.777 0.777 S
0.500 0.000 0.000 U
```

The value obtained for the total energy is -42.1 eV/f.u. The volume is 23.0 Å³ per atom. The calculation puts the formation energy from raw total energies at -1293 meV per atom. The value obtained for the energy above the most stable polymorph in this dataset is 2.3 kJ per mole of atoms.


Entry 2:
The following is a GGA-PBE calculation of a geometry-optimized Na2U2S5 structure, from Alexandria.

The structure in POSCAR format:
```
Na2U2S5
1.0
7.495 0.000 0.000
0.000 6.640 -3.414
0.000 -0.088 7.994
S U Na
10 4 4
Direct
0.147 0.229 0.753 S
0.853 0.771 0.247 S
0.647 0.271 0.247 S
0.353 0.976 0.247 S
0.500 0.500 0.000 S
0.147 0.476 0.247 S
0.000 0.000 0.000 S
0.353 0.729 0.753 S
0.853 0.524 0.753 S
0.647 0.024 0.753 S
0.840 0.340 0.000 U
0.160 0.660 0.000 U
0.340 0.160 0.000 U
0.660 0.840 0.000 U
0.500 0.704 0.409 Na
0.500 0.296 0.591 Na
0.000 0.204 0.409 Na
0.000 0.796 0.591 Na
```

The value obtained for the total energy is -58.0 eV/f.u. The volume is 22.0 Å³ per atom. The calculation puts the formation energy from raw total energies at -1353 meV per atom. The value obtained for the energy above the most stable polymorph in this dataset is 0.0 kJ per mole of atoms.


Entry 3:
The following is a GGA-PBE calculation of a geometry-optimized Na5US4 structure, from Alexandria.

The structure in POSCAR format:
```
Na5US4
1.0
4.092 0.000 0.000
0.000 7.930 -0.370
-2.046 -1.478 8.455
Na S U
5 4 1
Direct
0.826 0.132 0.652 Na
0.500 0.500 0.000 Na
0.164 0.323 0.329 Na
0.836 0.677 0.671 Na
0.174 0.868 0.348 Na
0.005 0.763 0.010 S
0.659 0.092 0.318 S
0.341 0.908 0.682 S
0.995 0.237 0.990 S
0.500 0.000 0.000 U
```

The value obtained for the total energy is -45.1 eV/f.u. The volume is 27.2 Å³ per atom. The calculation puts the formation energy from raw total energies at -1074 meV per atom.